{
  "formula": "Nb5NiIr4",
  "functional": "PBE",
  "state": "relaxed",
  "e_form_ev_per_atom": -0.30,
  "final_energy_ev_per_cell": -94.5,
  "cell": [[3.408, 0.000, 0.000], [0.000, 3.408, 0.000], [0.000, 0.000, 13.994]],
  "species": ["Nb", "Nb", "Nb", "Nb", "Nb", "Ni", "Ir", "Ir", "Ir", "Ir"],
  "frac_coords": [[0.000, 0.000, 0.000], [0.000, 0.000, 0.201], [0.000, 0.000, 0.404], [0.000, 0.000, 0.596], [0.000, 0.000, 0.799], [0.500, 0.500, 0.500], [0.500, 0.500, 0.102], [0.500, 0.500, 0.306], [0.500, 0.500, 0.694], [0.500, 0.500, 0.898]]
}


{
  "formula": "NbNiIr",
  "functional": "PBE",
  "state": "relaxed",
  "e_form_ev_per_atom": -0.38,
  "final_energy_ev_per_cell": -103.4,
  "cell": [[4.747, 0.000, 0.000], [0.000, 8.253, 0.000], [-1.572, 0.000, 4.490]],
  "species": ["Nb", "Nb", "Nb", "Nb", "Ni", "Ni", "Ni", "Ni", "Ir", "Ir", "Ir", "Ir"],
  "frac_coords": [[0.000, 0.102, 0.250], [0.000, 0.898, 0.750], [0.500, 0.398, 0.750], [0.500, 0.602, 0.250], [0.000, 0.428, 0.250], [0.000, 0.572, 0.750], [0.500, 0.072, 0.750], [0.500, 0.928, 0.250], [0.000, 0.247, 0.750], [0.000, 0.753, 0.250], [0.500, 0.253, 0.250], [0.500, 0.747, 0.750]]
}